1.
Below is a geometry-optimized ZrTlIrO6 structure, with properties calculated at the PBE level.

a b c (Å): 5.3780 5.3780 4.8764
angles (deg): 90.00 90.00 60.00
Closest atoms and distances in Å follow each position.
Sites, in units of the cell vectors:
Zr  0.6666  0.6667  0.5000  6 O 2.11
Tl  0.0000  0.0000  0.0000  6 O 2.36
Ir  0.3333  0.3333  0.5000  6 O 1.98
O  0.0180  0.3537  0.2718  1 Ir 1.98, 1 Zr 2.11
O  0.3537  0.0180  0.7282  1 Ir 1.98, 1 Zr 2.11
O  0.6283  0.3537  0.7282  1 Ir 1.98, 1 Zr 2.11
O  0.0180  0.6283  0.7282  1 Ir 1.98, 1 Zr 2.11
O  0.3536  0.6283  0.2718  1 Ir 1.98, 1 Zr 2.11
O  0.6283  0.0181  0.2718  1 Ir 1.98, 1 Zr 2.11

Properties
symmetry: P312
formation energy from raw total energies: -1452 meV per atom

=====

2.
Below is a geometry-optimized TaBe2I structure, with properties calculated at the PBE level.

a b c (Å): 6.8492 6.8492 5.6176
angles (deg): 52.44 52.44 90.00
Closest atoms and distances in Å follow each position.
Sites, in units of the cell vectors:
I  0.5000  0.5000  0.0000  4 Be 2.50
I  0.2500  0.7500  0.5000  4 Be 2.50
Be  0.6204  0.1250  0.2500  2 I 2.50, 2 Ta 2.55
Be  0.1296  0.6250  0.2500  2 I 2.50, 2 Ta 2.55
Be  0.3750  0.3796  0.7500  2 I 2.50, 2 Ta 2.55
Be  0.8750  0.8704  0.7500  2 I 2.50, 2 Ta 2.55
Ta  0.0000  0.0000  0.0000  4 Be 2.55, 2 I 2.85
Ta  0.7500  0.2500  0.5000  4 Be 2.55, 2 I 2.85

Properties
E above lowest polymorph: 0.00 eV/f.u.
symmetry: I-42d
formation energy from raw total energies: 1098 meV per atom

=====

3.
Below is a geometry-optimized La5YTl6 structure, with properties calculated at the PBE level.

a b c (Å): 5.5840 9.6787 9.6787
angles (deg): 119.89 106.77 106.77
Closest atoms and distances in Å follow each position.
Sites, in units of the cell vectors:
Y  0.0000  0.0000  0.0000  8 Tl 3.31-3.34
Tl  0.2405  0.0789  0.4019  1 Y 3.31, 7 La 3.39-3.50
Tl  0.7595  0.5981  0.9211  1 Y 3.31, 7 La 3.39-3.50
Tl  0.7317  0.2318  0.2318  2 Y 3.34, 6 La 3.45-3.51, 1 Tl 3.67
Tl  0.2683  0.7682  0.7682  2 Y 3.34, 6 La 3.45-3.51, 1 Tl 3.67
Tl  0.2405  0.4019  0.0789  1 Y 3.31, 7 La 3.39-3.50
Tl  0.7595  0.9211  0.5981  1 Y 3.31, 7 La 3.39-3.50
La  0.5000  0.1745  0.8255  8 Tl 3.39-3.45
La  0.0000  0.3370  0.6630  8 Tl 3.46-3.50
La  0.5000  0.5000  0.5000  8 Tl 3.40-3.51
La  0.0000  0.6630  0.3370  8 Tl 3.46-3.50
La  0.5000  0.8255  0.1745  8 Tl 3.39-3.45

Properties
energy of formation: -0.42 eV/atom
symmetry: Immm

=====

4.
Below is a geometry-optimized TaIrI2N structure, with properties calculated at the PBE level.

a b c (Å): 5.5726 5.5726 3.8453
angles (deg): 90.00 90.00 90.00
Closest atoms and distances in Å follow each position.
Sites, in units of the cell vectors:
I  0.0000  0.5000  0.0000  2 Ta 2.79
I  0.5000  0.0000  0.0000  2 Ta 2.79
N  0.0000  0.0000  0.5000  2 Ta 1.92
Ir  0.5000  0.5000  0.5000  8 I 3.39
Ta  0.0000  0.0000  0.0000  2 N 1.92

Properties
E above lowest polymorph: 0.00 eV/f.u.
symmetry: P4/mmm
formation energy from raw total energies: 1000 meV per atom

=====

5.
Below is a geometry-optimized CsRb2TeO structure, with properties calculated at the PBE level.

a b c (Å): 5.8180 5.8180 5.2395
angles (deg): 90.00 90.00 90.00
Closest atoms and distances in Å follow each position.
Sites, in units of the cell vectors:
Cs  0.0000  0.0000  0.5000  2 O 2.62
Te  0.5000  0.5000  0.5000  8 Rb 3.91, 4 Cs 4.11
O  0.0000  0.0000  0.0000  2 Cs 2.62, 4 Rb 2.91
Rb  0.0000  0.5000  0.0000  2 O 2.91
Rb  0.5000  0.0000  0.0000  2 O 2.91

Properties
symmetry: P4/mmm
formation energy from raw total energies: -909 meV per atom

=====

6.
Below is a geometry-optimized CoCuSiPt structure, with properties calculated at the PBE level.

a b c (Å): 4.1365 4.1365 4.1365
angles (deg): 60.00 60.00 60.00
Closest atoms and distances in Å follow each position.
Sites, in units of the cell vectors:
Si  0.5000  0.5000  0.5000  4 Co 2.53, 4 Pt 2.53
Co  0.2500  0.2500  0.2500  4 Cu 2.53, 4 Si 2.53
Cu  0.0000  0.0000  0.0000  4 Co 2.53, 4 Pt 2.53
Pt  0.7500  0.7500  0.7500  4 Cu 2.53, 4 Si 2.53

Properties
symmetry: F-43m
formation energy from raw total energies: -292 meV per atom